LiYCl2 | PBE | relaxed

a = 8.786 Å, b = 8.786 Å, c = 8.786 Å
α = 25.12°, β = 25.12°, γ = 25.12°
Atoms (fractional coordinates):
Li (0.000, 0.000, 0.000)
Y (0.766, 0.766, 0.766)
Cl (0.318, 0.318, 0.318)
Cl (0.502, 0.502, 0.502)

The symmetry is R3m (160). As for the density: 2.58 g/cm³. The calculation puts the size of the total moment at 0.000 μB per cell. The final energy is -4.39 eV/atom.

***

CaPm7Sn5 | PBE | relaxed

a = 8.489 Å, b = 8.489 Å, c = 8.489 Å
α = 134.60°, β = 97.37°, γ = 99.76°
Atoms (fractional coordinates):
Ca (0.000, 0.000, 0.000)
Pm (0.133, 0.453, 0.680)
Pm (0.197, 0.697, 0.500)
Pm (0.310, 0.969, 0.341)
Pm (0.333, 0.333, 0.000)
Pm (0.628, 0.969, 0.659)
Pm (0.658, 0.658, 0.000)
Pm (0.774, 0.453, 0.320)
Sn (0.453, 0.460, 0.490)
Sn (0.453, 0.963, 0.993)
Sn (0.718, 0.218, 0.500)
Sn (0.970, 0.460, 0.007)
Sn (0.970, 0.963, 0.510)

The symmetry is Imm2 (44). As for the density: 6.81 g/cm³. The value obtained for the formation energy is -0.482 eV/atom. The calculation puts the size of the total moment at 0.001 μB per cell. The final energy is -4.73 eV/atom.

***

RbSbSe2 | PBE | relaxed

a = 7.713 Å, b = 7.713 Å, c = 7.713 Å
α = 118.03°, β = 118.03°, γ = 93.44°
Atoms (fractional coordinates):
Rb (0.000, 0.000, 0.000)
Rb (0.750, 0.250, 0.500)
Sb (0.250, 0.750, 0.500)
Sb (0.500, 0.500, 0.000)
Se (0.199, 0.125, 0.574)
Se (0.375, 0.801, 0.926)
Se (0.551, 0.625, 0.426)
Se (0.875, 0.449, 0.074)

The symmetry is I-42d (122). As for the density: 3.64 g/cm³. The calculation puts the size of the total moment at 0.000 μB per cell. The final energy is -3.56 eV/atom.

***

CuAgF3 | PBE | relaxed

a = 3.936 Å, b = 6.095 Å, c = 5.989 Å
α = 90.00°, β = 107.39°, γ = 90.00°
Atoms (fractional coordinates):
Cu (0.006, 0.250, 0.014)
Cu (0.994, 0.750, 0.986)
Ag (0.306, 0.250, 0.579)
Ag (0.694, 0.750, 0.421)
F (0.118, 0.507, 0.254)
F (0.118, 0.993, 0.254)
F (0.498, 0.750, 0.995)
F (0.502, 0.250, 0.005)
F (0.882, 0.007, 0.746)
F (0.882, 0.493, 0.746)

The symmetry is P2_1/m (11). As for the density: 5.53 g/cm³. The calculation puts the size of the total moment at 2.000 μB per cell. The final energy is -3.77 eV/atom.

***

Ti2Bi2H | PBE | relaxed

a = 7.722 Å, b = 7.722 Å, c = 3.659 Å
α = 90.00°, β = 90.00°, γ = 90.00°
Atoms (fractional coordinates):
Ti (0.125, 0.375, 0.000)
Ti (0.375, 0.875, 0.000)
Ti (0.625, 0.125, 0.000)
Ti (0.875, 0.625, 0.000)
Bi (0.169, 0.669, 0.500)
Bi (0.331, 0.169, 0.500)
Bi (0.669, 0.831, 0.500)
Bi (0.831, 0.331, 0.500)
H (0.000, 0.000, 0.500)
H (0.500, 0.500, 0.500)

The symmetry is P4/mbm (127). As for the density: 7.84 g/cm³. The calculation puts the size of the total moment at 0.000 μB per cell. The final energy is -4.91 eV/atom.

***

CdInPb2O5 | PBE | relaxed

a = 7.508 Å, b = 7.508 Å, c = 11.448 Å
α = 90.00°, β = 90.00°, γ = 152.96°
Atoms (fractional coordinates):
Cd (0.014, 0.986, 0.500)
Cd (0.986, 0.014, 0.000)
In (0.257, 0.743, 0.021)
In (0.743, 0.257, 0.521)
Pb (0.368, 0.632, 0.265)
Pb (0.373, 0.627, 0.736)
Pb (0.627, 0.373, 0.236)
Pb (0.632, 0.368, 0.765)
O (0.044, 0.956, 0.821)
O (0.121, 0.879, 0.100)
O (0.227, 0.773, 0.666)
O (0.253, 0.747, 0.406)
O (0.404, 0.596, 0.057)
O (0.596, 0.404, 0.557)
O (0.747, 0.253, 0.906)
O (0.773, 0.227, 0.166)
O (0.879, 0.121, 0.600)
O (0.956, 0.044, 0.321)

The symmetry is Cmc2_1 (36). As for the density: 8.17 g/cm³. The calculation puts the size of the total moment at 0.000 μB per cell. The final energy is -5.09 eV/atom.

***

Q: Which value of final energy does entry 4 give?
A: -3.77 eV/atom

***

Q: The highest density belongs to which entry?
A: CdInPb2O5